1.
Below is a relaxed structure of Cs2K2Rb2Ag, with properties calculated at the PBE level.

Crystal system   triclinic
Calculated total energy   -1.205 eV/atom
Size of the total moment   0.00 μB per cell

abc: 5.000 9.845 11.687
angles: 102.95 102.23 90.11
Atoms (fractional coordinates):
Cs  0.170  0.094  0.330
Cs  0.830  0.906  0.670
K  0.498  0.246  0.995
K  0.502  0.754  0.005
Rb  0.151  0.576  0.310
Rb  0.849  0.424  0.690
Ag  0.000  0.000  0.000

2.
Below is a relaxed structure of NpCuTe4, with properties calculated at the PBE level.

Crystal system   monoclinic
Calculated total energy   -5.120 eV/atom
Size of the total moment   8.04 μB per cell

abc: 6.356 9.413 6.471
angles: 90.00 97.85 90.00
Atoms (fractional coordinates):
Np  0.031  0.250  0.399
Np  0.969  0.750  0.601
Cu  0.313  0.250  0.000
Cu  0.687  0.750  0.000
Te  0.093  0.750  0.118
Te  0.221  0.030  0.752
Te  0.221  0.470  0.752
Te  0.484  0.750  0.642
Te  0.516  0.250  0.358
Te  0.779  0.530  0.248
Te  0.779  0.970  0.248
Te  0.907  0.250  0.882

3.
Below is a relaxed structure of ZrRuCl, with properties calculated at the PBE level.

Crystal system   cubic
Size of the total moment   0.50 μB per cell
Offset from the most stable computed form   0.782 eV per atom

abc: 4.439 4.439 4.439
angles: 60.00 60.00 60.00
Atoms (fractional coordinates):
Zr  0.000  0.000  0.000
Ru  0.750  0.750  0.750
Cl  0.250  0.250  0.250

4.
Below is a relaxed structure of Be2SbBr, with properties calculated at the PBE level.

Crystal system   orthorhombic
Size of the total moment   0.00 μB per cell
Offset from the most stable computed form   0.382 eV per atom

abc: 3.343 3.689 6.223
angles: 90.00 90.00 90.00
Atoms (fractional coordinates):
Be  0.000  0.000  0.182
Be  0.000  0.000  0.818
Sb  0.500  0.500  0.000
Br  0.500  0.000  0.500

5.
Below is a relaxed structure of Tb2Nd5Ge4, with properties calculated at the PBE level.

Crystal system   monoclinic
Calculated total energy   -4.973 eV/atom
Size of the total moment   0.00 μB per cell

abc: 10.853 10.853 8.359
angles: 95.62 95.62 20.42
Atoms (fractional coordinates):
Tb  0.235  0.235  0.165
Tb  0.765  0.765  0.835
Nd  0.000  0.000  0.500
Nd  0.338  0.338  0.528
Nd  0.400  0.400  0.068
Nd  0.600  0.600  0.932
Nd  0.662  0.662  0.472
Ge  0.105  0.105  0.217
Ge  0.472  0.472  0.765
Ge  0.528  0.528  0.235
Ge  0.895  0.895  0.783

6.
Below is a relaxed structure of TaCrCo2, with properties calculated at the PBE level.

Crystal system   monoclinic
Size of the total moment   0.00 μB per cell
Offset from the most stable computed form   0.078 eV per atom

abc: 4.448 4.448 2.678
angles: 90.19 90.19 107.73
Atoms (fractional coordinates):
Ta  0.000  0.000  0.000
Cr  0.500  0.500  0.000
Co  0.000  0.500  0.500
Co  0.500  0.000  0.500

7.
Below is a relaxed structure of PmAsRu2, with properties calculated at the PBE level.

Crystal system   tetragonal
Calculated total energy   -7.119 eV/atom
Size of the total moment   0.00 μB per cell

abc: 4.364 4.364 3.646
angles: 90.00 90.00 90.00
Atoms (fractional coordinates):
Pm  0.000  0.000  0.000
As  0.500  0.500  0.000
Ru  0.000  0.500  0.500
Ru  0.500  0.000  0.500

8.
Below is a relaxed structure of Dy2ErCd, with properties calculated at the PBE level.

Crystal system   trigonal
Size of the total moment   0.48 μB per cell
Offset from the most stable computed form   0.078 eV per atom

abc: 10.872 10.872 10.872
angles: 18.99 18.99 18.99
Atoms (fractional coordinates):
Dy  0.000  0.000  0.000
Dy  0.176  0.176  0.176
Er  0.422  0.422  0.422
Cd  0.588  0.588  0.588

9.
Below is a relaxed structure of Tb4Dy2MgSc, with properties calculated at the PBE level.

Crystal system   tetragonal
Calculated total energy   -4.430 eV/atom
Size of the total moment   0.00 μB per cell

abc: 4.952 4.952 9.709
angles: 90.00 90.00 90.00
Atoms (fractional coordinates):
Tb  0.000  0.500  0.247
Tb  0.000  0.500  0.753
Tb  0.500  0.000  0.247
Tb  0.500  0.000  0.753
Dy  0.000  0.000  0.000
Dy  0.500  0.500  0.500
Mg  0.000  0.000  0.500
Sc  0.500  0.500  0.000

10.
Below is a relaxed structure of NbMo3Ir, with properties calculated at the PBE level.

Crystal system   cubic
Size of the total moment   0.00 μB per cell
Offset from the most stable computed form   0.000 eV per atom

abc: 4.703 4.703 4.703
angles: 90.00 90.00 90.00
Atoms (fractional coordinates):
Nb  0.000  0.000  0.000
Mo  0.000  0.500  0.500
Mo  0.500  0.000  0.500
Mo  0.500  0.500  0.000
Ir  0.500  0.500  0.500

11.
Below is a relaxed structure of NdTm2Th6, with properties calculated at the PBE level.

Crystal system   monoclinic
Calculated total energy   -6.157 eV/atom
Size of the total moment   0.00 μB per cell

abc: 6.846 6.846 9.196
angles: 120.76 120.76 62.11
Atoms (fractional coordinates):
Nd  0.000  0.000  0.000
Tm  0.295  0.295  0.875
Tm  0.705  0.705  0.125
Th  0.166  0.688  0.650
Th  0.312  0.834  0.350
Th  0.327  0.327  0.295
Th  0.673  0.673  0.705
Th  0.688  0.166  0.650
Th  0.834  0.312  0.350

12.
Below is a relaxed structure of La2TbIn, with properties calculated at the PBE level.

Crystal system   tetragonal
Size of the total moment   0.00 μB per cell
Offset from the most stable computed form   0.079 eV per atom

abc: 3.721 3.721 9.540
angles: 90.00 90.00 90.00
Atoms (fractional coordinates):
La  0.000  0.000  0.228
La  0.000  0.000  0.772
Tb  0.500  0.500  0.500
In  0.500  0.500  0.000

13.
Below is a relaxed structure of Tb4CdIn2, with properties calculated at the PBE level.

Crystal system   monoclinic
Size of the total moment   0.00 μB per cell
Offset from the most stable computed form   0.097 eV per atom

abc: 7.339 6.611 9.071
angles: 90.00 111.21 90.00
Atoms (fractional coordinates):
Tb  0.088  0.250  0.052
Tb  0.157  0.007  0.722
Tb  0.157  0.493  0.722
Tb  0.314  0.750  0.332
Tb  0.686  0.250  0.668
Tb  0.843  0.507  0.278
Tb  0.843  0.993  0.278
Tb  0.912  0.750  0.948
Cd  0.490  0.750  0.703
Cd  0.510  0.250  0.297
In  0.227  0.250  0.442
In  0.444  0.750  0.032
In  0.556  0.250  0.968
In  0.773  0.750  0.558

14.
Below is a relaxed structure of Cs2PuHgBr6, with properties calculated at the PBE level.

Crystal system   orthorhombic
Calculated total energy   -4.041 eV/atom
Size of the total moment   8.00 μB per cell

abc: 7.970 11.996 10.204
angles: 90.00 90.00 90.00
Atoms (fractional coordinates):
Cs  0.250  0.024  0.182
Cs  0.250  0.476  0.182
Cs  0.750  0.524  0.818
Cs  0.750  0.976  0.818
Pu  0.250  0.750  0.823
Pu  0.750  0.250  0.177
Hg  0.250  0.250  0.661
Hg  0.750  0.750  0.339
Br  0.001  0.250  0.364
Br  0.008  0.750  0.019
Br  0.250  0.518  0.822
Br  0.250  0.982  0.822
Br  0.492  0.750  0.019
Br  0.499  0.250  0.364
Br  0.501  0.750  0.636
Br  0.508  0.250  0.981
Br  0.750  0.018  0.178
Br  0.750  0.482  0.178
Br  0.992  0.250  0.981
Br  0.999  0.750  0.636

15.
Below is a relaxed structure of ZrTeH, with properties calculated at the PBE level.

Crystal system   trigonal
Calculated total energy   -5.742 eV/atom
Size of the total moment   0.00 μB per cell

abc: 10.148 10.148 10.148
angles: 21.07 21.07 21.07
Atoms (fractional coordinates):
Zr  0.124  0.124  0.124
Zr  0.876  0.876  0.876
Te  0.392  0.392  0.392
Te  0.608  0.608  0.608
H  0.193  0.193  0.193
H  0.807  0.807  0.807

16.
Below is a relaxed structure of LaPrHoEr2, with properties calculated at the PBE level.

Crystal system   orthorhombic
Calculated total energy   -4.325 eV/atom
Size of the total moment   0.00 μB per cell

abc: 7.167 7.167 7.214
angles: 90.00 90.00 107.63
Atoms (fractional coordinates):
La  0.234  0.766  0.750
La  0.766  0.234  0.250
Pr  0.500  0.500  0.250
Pr  0.500  0.500  0.750
Ho  0.217  0.783  0.250
Ho  0.783  0.217  0.750
Er  0.186  0.186  0.000
Er  0.186  0.186  0.500
Er  0.814  0.814  0.000
Er  0.814  0.814  0.500

17.
Below is a relaxed structure of SrYPb, with properties calculated at the PBE level.

Crystal system   trigonal
Calculated total energy   -4.086 eV/atom
Size of the total moment   0.67 μB per cell

abc: 3.817 3.817 8.472
angles: 90.00 90.00 120.00
Atoms (fractional coordinates):
Sr  0.000  0.000  0.000
Y  0.667  0.333  0.385
Pb  0.333  0.667  0.679

18.
Below is a relaxed structure of TaMn3Rh4, with properties calculated at the PBE level.

Crystal system   tetragonal
Calculated total energy   -8.926 eV/atom
Size of the total moment   13.93 μB per cell

abc: 4.380 4.380 6.164
angles: 90.00 90.00 90.00
Atoms (fractional coordinates):
Ta  0.000  0.000  0.000
Mn  0.000  0.000  0.500
Mn  0.500  0.500  0.000
Mn  0.500  0.500  0.500
Rh  0.000  0.500  0.250
Rh  0.000  0.500  0.750
Rh  0.500  0.000  0.250
Rh  0.500  0.000  0.750

19.
Below is a relaxed structure of AsS3F, with properties calculated at the PBE level.

Crystal system   cubic
Size of the total moment   0.00 μB per cell
Offset from the most stable computed form   0.000 eV per atom

abc: 4.655 4.655 4.655
angles: 90.00 90.00 90.00
Atoms (fractional coordinates):
As  0.000  0.000  0.000
S  0.000  0.000  0.500
S  0.000  0.500  0.000
S  0.500  0.000  0.000
F  0.500  0.500  0.500

20.
Below is a relaxed structure of ErZr4Sc, with properties calculated at the PBE level.

Crystal system   monoclinic
Calculated total energy   -7.339 eV/atom
Size of the total moment   0.00 μB per cell

abc: 9.076 9.076 5.592
angles: 90.16 90.16 139.91
Atoms (fractional coordinates):
Er  0.189  0.811  0.750
Er  0.811  0.189  0.250
Zr  0.107  0.396  0.780
Zr  0.225  0.277  0.406
Zr  0.277  0.225  0.906
Zr  0.396  0.107  0.280
Zr  0.604  0.893  0.720
Zr  0.723  0.775  0.094
Zr  0.775  0.723  0.594
Zr  0.893  0.604  0.220
Sc  0.314  0.686  0.250
Sc  0.686  0.314  0.750

21.
Below is a relaxed structure of Na2LiPuCl6, with properties calculated at the PBE level.

Crystal system   trigonal
Calculated total energy   -4.824 eV/atom
Size of the total moment   5.00 μB per cell

abc: 7.430 7.430 7.430
angles: 55.60 55.60 55.60
Atoms (fractional coordinates):
Na  0.000  0.000  0.000
Na  0.497  0.497  0.497
Li  0.204  0.204  0.204
Pu  0.697  0.697  0.697
Cl  0.078  0.423  0.822
Cl  0.313  0.926  0.574
Cl  0.423  0.822  0.078
Cl  0.574  0.313  0.926
Cl  0.822  0.078  0.423
Cl  0.926  0.574  0.313

22.
Below is a relaxed structure of PaNb2Cu2S6, with properties calculated at the PBE level.

Crystal system   monoclinic
Calculated total energy   -6.625 eV/atom
Size of the total moment   0.00 μB per cell

abc: 6.279 6.279 6.155
angles: 94.46 94.46 119.36
Atoms (fractional coordinates):
Pa  0.000  0.000  0.000
Nb  0.367  0.633  0.000
Nb  0.633  0.367  0.000
Cu  0.373  0.627  0.500
Cu  0.627  0.373  0.500
S  0.038  0.392  0.236
S  0.294  0.294  0.720
S  0.392  0.038  0.236
S  0.608  0.962  0.764
S  0.706  0.706  0.280
S  0.962  0.608  0.764

23.
Below is a relaxed structure of SnBiMo3, with properties calculated at the PBE level.

Crystal system   cubic
Size of the total moment   5.77 μB per cell
Offset from the most stable computed form   0.000 eV per atom

abc: 5.032 5.032 5.032
angles: 90.00 90.00 90.00
Atoms (fractional coordinates):
Sn  0.000  0.000  0.000
Bi  0.500  0.500  0.500
Mo  0.000  0.000  0.500
Mo  0.000  0.500  0.000
Mo  0.500  0.000  0.000

24.
Below is a relaxed structure of KZn2InPd, with properties calculated at the PBE level.

Crystal system   tetragonal
Calculated total energy   -2.469 eV/atom
Size of the total moment   0.00 μB per cell

abc: 5.017 5.017 5.161
angles: 90.00 90.00 90.00
Atoms (fractional coordinates):
K  0.000  0.000  0.000
Zn  0.000  0.500  0.500
Zn  0.500  0.000  0.500
In  0.500  0.500  0.000
Pd  0.500  0.500  0.500

25.
Below is a relaxed structure of BeTlIr2, with properties calculated at the PBE level.

Crystal system   orthorhombic
Size of the total moment   0.00 μB per cell
Offset from the most stable computed form   0.381 eV per atom

abc: 2.951 4.404 4.830
angles: 90.00 90.00 90.00
Atoms (fractional coordinates):
Be  0.000  0.000  0.000
Tl  0.500  0.000  0.500
Ir  0.000  0.500  0.500
Ir  0.500  0.500  0.000